VASP calculation (PBE) on an optimized crystal structure of ZnFeC3.

```
5
Lattice="-0.667 3.708 -0.081 -2.291 -0.477 -2.953 -2.916 -0.473 2.339" Properties=species:S:1:pos:R:3 pbc="T T T"
C -0.333 1.854 -0.041
C -1.146 -0.238 -1.477
C -1.458 -0.237 1.169
Fe 0.000 0.000 0.000
Zn -2.937 1.379 -0.348
```

Computed properties:
formation enthalpy at 0 K = 1950 meV per atom
raw total energy = -5.531 eV/atom
offset from the most stable computed form = 0 meV per atom
Fermi-level density of states = 2.78 states/eV/f.u.

VASP calculation (PBE) on an optimized crystal structure of K2ScCd.

```
4
Lattice="-2.340 -2.799 -1.688 3.831 -0.985 -3.676 2.535 -4.428 3.829" Properties=species:S:1:pos:R:3 pbc="T T T"
Cd 3.183 -2.707 0.076
K 0.746 -1.892 -2.682
K 0.000 0.000 0.000
Sc 0.097 -3.614 1.070
```

Computed properties:
formation enthalpy at 0 K = 411 meV per atom
raw total energy = -1.949 eV/atom
Fermi-level density of states = 5.35 states/eV/f.u.

VASP calculation (PBE) on an optimized crystal structure of CePrEr.

```
3
Lattice="-0.082 -1.008 3.417 2.576 -2.377 -0.639 3.926 6.856 0.258" Properties=species:S:1:pos:R:3 pbc="T T T"
Er 3.053 0.110 1.964
Ce 3.423 3.416 1.090
Pr 6.365 3.415 3.018
```

Computed properties:
formation enthalpy at 0 K = 81 meV per atom
raw total energy = -5.011 eV/atom
offset from the most stable computed form = 41 meV per atom
Fermi-level density of states = 6.16 states/eV/f.u.

VASP calculation (PBE) on an optimized crystal structure of Pr8Tl2Pd.

```
11
Lattice="-2.593 4.417 -0.102 -4.499 -2.816 -7.586 -1.697 -3.776 8.076" Properties=species:S:1:pos:R:3 pbc="T T T"
Tl -4.420 0.433 2.466
Tl -4.369 -2.607 -2.077
Pr -7.484 -1.435 -0.667
Pr -4.612 -2.678 1.228
Pr -2.607 -1.424 4.590
Pr -5.769 -0.284 5.478
Pr -4.177 0.503 -0.839
Pr -1.305 -0.740 1.056
Pr -3.020 -1.891 -5.089
Pr -6.182 -0.751 -4.201
Pd -1.297 2.208 -0.052
```

Computed properties:
formation enthalpy at 0 K = -166 meV per atom
raw total energy = -4.545 eV/atom
offset from the most stable computed form = 87 meV per atom
Fermi-level density of states = 14.67 states/eV/f.u.

VASP calculation (PBE) on an optimized crystal structure of BaIn2Ga2.

```
10
Lattice="-2.488 -3.604 -7.650 8.354 0.192 -2.807 0.516 -3.157 1.320" Properties=species:S:1:pos:R:3 pbc="T T T"
Ga 0.773 -2.765 -2.380
Ga 5.387 -2.036 -2.440
Ga 5.609 -3.805 -6.758
Ga 0.995 -4.533 -6.697
In 6.366 -1.178 -5.306
In -0.500 -2.234 -5.151
In 3.063 -3.027 -8.440
In 2.802 -0.385 -2.018
Ba 0.000 0.000 0.000
Ba 2.933 -1.706 -5.229
```

Computed properties:
formation enthalpy at 0 K = -134 meV per atom
raw total energy = -2.824 eV/atom
Fermi-level density of states = 2.97 states/eV/f.u.

VASP calculation (PBE) on an optimized crystal structure of Ta2CrRe.

```
4
Lattice="-0.120 -2.781 -0.312 2.498 0.992 -0.788 2.941 -1.028 8.030" Properties=species:S:1:pos:R:3 pbc="T T T"
Ta 0.027 -0.009 0.073
Ta 1.444 -0.505 3.942
Cr 1.924 -1.151 1.458
Re 3.395 -1.665 5.473
```

Computed properties:
formation enthalpy at 0 K = -54 meV per atom
raw total energy = -11.498 eV/atom
Fermi-level density of states = 2.04 states/eV/f.u.

VASP calculation (PBE) on an optimized crystal structure of YTl2Pd2.

```
10
Lattice="-2.088 -6.070 3.835 6.107 -3.601 -2.376 2.009 1.314 3.173" Properties=species:S:1:pos:R:3 pbc="T T T"
Y 0.000 0.000 0.000
Y 2.010 -4.836 0.730
Tl 4.708 -6.389 2.159
Tl 1.303 -5.608 3.992
Tl 1.321 -1.968 2.473
Tl 4.726 -2.749 0.641
Pd 1.970 -2.127 -0.366
Pd 2.050 -7.544 1.826
Pd 4.532 -5.357 -0.651
Pd -0.512 -4.314 2.111
```

Computed properties:
formation enthalpy at 0 K = -330 meV per atom
raw total energy = -4.647 eV/atom
offset from the most stable computed form = 0 meV per atom
Fermi-level density of states = 2.98 states/eV/f.u.

VASP calculation (PBE) on an optimized crystal structure of NaGaTe2.

```
4
Lattice="-4.706 7.892 1.584 -3.087 7.017 5.308 -0.787 8.963 2.448" Properties=species:S:1:pos:R:3 pbc="T T T"
Ga -4.290 11.936 4.670
Te -7.647 21.275 8.324
Te -0.933 2.597 1.016
Na 0.000 0.000 0.000
```

Computed properties:
raw total energy = -2.928 eV/atom
formation energy from raw total energies = -0.271 eV per atom
Fermi-level density of states = 2.40 states/eV/f.u.